# Rb2TcCl6 (GGA-PBEsol, relaxed)
data_Rb2TcCl6
_chemical_formula_sum 'Rb8 Tc4 Cl24'
_space_group_name_H-M_alt 'F m -3 m'
_space_group_IT_number 225
_space_group_name_Hall '-F 4 2 3'
_cell_length_a 9.8963
_cell_length_b 9.8963
_cell_length_c 9.8963
_cell_angle_alpha 90.00
_cell_angle_beta 90.00
_cell_angle_gamma 90.00
loop_
_atom_site_label
_atom_site_fract_x
_atom_site_fract_y
_atom_site_fract_z
Rb1 0.2500 0.2500 0.2500
Tc1 0.0000 0.0000 0.0000
Cl1 0.0000 0.0000 0.2367
# - formation energy from raw total energies (eV per formula unit) = -12.145
# - DFT total energy (hartree per atom) = -0.1532